(1)
Compound: BC7
Source: Alexandria
Functional: PBE-GGA
Structure: optimized geometry

It has space group P-4m2 (No. 115), with a = 2.525 Å, b = 2.525 Å, c = 7.452 Å, α = 90.00°, β = 90.00° and γ = 90.00°. Symmetry generates all atoms from B at (0.000, 0.000, 0.000), C at (0.000, 0.000, 0.500), C at (0.000, 0.500, 0.142), C at (0.000, 0.500, 0.619) and C at (0.500, 0.500, 0.258).

The crystal system is tetragonal. As for the raw total energy: -8.70 eV per atom.

(2)
Compound: BeSnB2
Source: Alexandria
Functional: PBE-GGA
Structure: optimized geometry

It has space group I-42d (No. 122), with a = 3.788 Å, b = 3.788 Å, c = 12.892 Å, α = 90.00°, β = 90.00° and γ = 90.00°. Symmetry generates all atoms from Be at (0.000, 0.000, 0.000), Sn at (0.000, 0.000, 0.500) and B at (0.111, 0.250, 0.125).

The crystal system is tetragonal. As for the raw total energy: -4.72 eV per atom.

(3)
Compound: K3Tm2USe6
Source: Alexandria
Functional: PBE-GGA
Structure: optimized geometry

It has space group C2/m (No. 12), with a = 7.278 Å, b = 12.604 Å, c = 8.071 Å, α = 90.00°, β = 107.51° and γ = 90.00°. Symmetry generates all atoms from K at (0.000, 0.000, 0.000), K at (0.000, 0.334, 0.000), Tm at (0.000, 0.167, 0.500), U at (0.000, 0.500, 0.500), Se at (0.228, 0.000, 0.705) and Se at (0.239, 0.330, 0.705).

The crystal system is monoclinic. As for the raw total energy: -5.26 eV per atom.

(4)
Compound: YZn2Cr
Source: Alexandria
Functional: PBE-GGA
Structure: optimized geometry

It has space group P4/mmm (No. 123), with a = 4.253 Å, b = 4.253 Å, c = 4.218 Å, α = 90.00°, β = 90.00° and γ = 90.00°. Symmetry generates all atoms from Y at (0.000, 0.000, 0.000), Zn at (0.000, 0.500, 0.500) and Cr at (0.500, 0.500, 0.000).

The crystal system is tetragonal. As for the raw total energy: -4.57 eV per atom.

(5)
Compound: TaCo
Source: Alexandria
Functional: PBE-GGA
Structure: optimized geometry

It has space group I4_1/amd (No. 141, origin choice 2), with a = 3.689 Å, b = 3.689 Å, c = 8.396 Å, α = 90.00°, β = 90.00° and γ = 90.00°. Symmetry generates all atoms from Ta at (0.000, 0.250, 0.375) and Co at (0.000, 0.250, 0.875).

The crystal system is tetragonal. As for the raw total energy: -9.53 eV per atom.

(6)
Compound: TcTeS3
Source: Alexandria
Functional: PBE-GGA
Structure: optimized geometry

It has space group Pm-3m (No. 221), with a = 5.008 Å, b = 5.008 Å, c = 5.008 Å, α = 90.00°, β = 90.00° and γ = 90.00°. Symmetry generates all atoms from Tc at (0.000, 0.000, 0.000), Te at (0.500, 0.500, 0.500) and S at (0.000, 0.500, 0.500).

The crystal system is cubic. As for the raw total energy: -4.07 eV per atom.

(7)
Compound: Sr3CdGe
Source: Alexandria
Functional: PBE-GGA
Structure: optimized geometry

It has space group Pm-3m (No. 221), with a = 6.090 Å, b = 6.090 Å, c = 6.090 Å, α = 90.00°, β = 90.00° and γ = 90.00°. Symmetry generates all atoms from Sr at (0.000, 0.000, 0.500), Cd at (0.500, 0.500, 0.500) and Ge at (0.000, 0.000, 0.000).

The crystal system is cubic. As for the raw total energy: -2.31 eV per atom.

(8)
Compound: K4SiHg
Source: Alexandria
Functional: PBE-GGA
Structure: optimized geometry

It has space group F-43m (No. 216), with a = 9.858 Å, b = 9.858 Å, c = 9.858 Å, α = 90.00°, β = 90.00° and γ = 90.00°. Symmetry generates all atoms from K at (0.124, 0.124, 0.124), Si at (0.250, 0.250, 0.750) and Hg at (0.000, 0.000, 0.500).

The crystal system is cubic. As for the raw total energy: -1.22 eV per atom.

(9)
Compound: Mn2HgMo2
Source: Alexandria
Functional: PBE-GGA
Structure: optimized geometry

It has space group I4/mmm (No. 139), with a = 4.087 Å, b = 4.087 Å, c = 9.710 Å, α = 90.00°, β = 90.00° and γ = 90.00°. Symmetry generates all atoms from Mn at (0.000, 0.000, 0.116), Hg at (0.000, 0.000, 0.500) and Mo at (0.000, 0.500, 0.250).

The crystal system is tetragonal. As for the raw total energy: -7.59 eV per atom.

(10)
Compound: NaSn2Pt2
Source: Alexandria
Functional: PBE-GGA
Structure: optimized geometry

It has space group I4/mmm (No. 139), with a = 4.704 Å, b = 4.704 Å, c = 10.554 Å, α = 90.00°, β = 90.00° and γ = 90.00°. Symmetry generates all atoms from Na at (0.000, 0.000, 0.000), Sn at (0.000, 0.500, 0.250) and Pt at (0.000, 0.000, 0.374).

The crystal system is tetragonal. As for the raw total energy: -4.68 eV per atom.

(11)
Compound: Co2Sn5
Source: Alexandria
Functional: PBE-GGA
Structure: optimized geometry

It has space group C2/c (No. 15), with a = 13.891 Å, b = 6.506 Å, c = 6.499 Å, α = 90.00°, β = 102.58° and γ = 90.00°. Symmetry generates all atoms from Co at (0.111, 0.230, 0.096), Sn at (0.000, 0.063, 0.750), Sn at (0.090, 0.393, 0.449) and Sn at (0.213, 0.108, 0.791).

The crystal system is monoclinic. As for the raw total energy: -4.88 eV per atom.

(12)
Compound: UVW2
Source: Alexandria
Functional: PBE-GGA
Structure: optimized geometry

It has space group P4/mmm (No. 123), with a = 3.264 Å, b = 3.264 Å, c = 6.383 Å, α = 90.00°, β = 90.00° and γ = 90.00°. Symmetry generates all atoms from U at (0.000, 0.000, 0.000), V at (0.000, 0.000, 0.500) and W at (0.500, 0.500, 0.265).

The crystal system is tetragonal. As for the raw total energy: -11.20 eV per atom.

Among the records above, which one has the highest raw total energy?
K4SiHg